The following is a DFT calculation (PBEsol) of Ba2OsBr after structural relaxation.

a = 4.491 Å, b = 4.491 Å, c = 11.534 Å
α = 90.00°, β = 90.00°, γ = 90.00°
Sites, in units of the cell vectors:
Ba (0.000, 0.000, 0.000)
Ba (0.000, 0.500, 0.250)
Ba (0.500, 0.000, 0.750)
Ba (0.500, 0.500, 0.500)
Os (0.000, 0.500, 0.750)
Os (0.500, 0.000, 0.250)
Br (0.000, 0.000, 0.500)
Br (0.500, 0.500, 0.000)

Summary:
M_tot (Bohr magnetons per cell): 2.1
Total energy (Ry/atom): -0.3232
V (Å³ per atom): 29.08
Formation energy (no corrections) (eV per atom): 0.199